CoSb2Mo | GGA-PBEsol | relaxed

energy = -0.508 Ry/atom
energy relative to the elements, uncorrected = 239.9 meV/atom

CIF file:
```
data_CoSb2Mo
_chemical_formula_sum 'Co1 Sb2 Mo1'
_symmetry_space_group_name_H-M 'P 1 2/m 1'
_symmetry_Int_Tables_number 10
_cell_length_a 3.2778
_cell_length_b 3.2842
_cell_length_c 6.2005
_cell_angle_alpha 90.00
_cell_angle_beta 93.08
_cell_angle_gamma 90.00
loop_
_symmetry_equiv_pos_as_xyz
'x,y,z'
'-x,-y,-z'
'-x,y,-z'
'x,-y,z'
loop_
_atom_site_label
_atom_site_type_symbol
_atom_site_fract_x
_atom_site_fract_y
_atom_site_fract_z
Co1 Co 0.0000 0.0000 0.0000
Sb1 Sb 0.4759 0.5000 0.2442
Mo1 Mo 0.0000 0.0000 0.5000
```

CoCu3P4O16 | GGA-PBEsol | relaxed

energy = -0.498 Ry/atom
energy relative to the elements, uncorrected = -1447.5 meV/atom

CIF file:
```
data_CoCu3P4O16
_chemical_formula_sum 'Co1 Cu3 P4 O16'
_symmetry_space_group_name_H-M 'P 1 m 1'
_symmetry_Int_Tables_number 6
_cell_length_a 4.9814
_cell_length_b 5.9177
_cell_length_c 9.8349
_cell_angle_alpha 90.00
_cell_angle_beta 91.95
_cell_angle_gamma 90.00
loop_
_symmetry_equiv_pos_as_xyz
'x,y,z'
'x,-y,z'
loop_
_atom_site_label
_atom_site_type_symbol
_atom_site_fract_x
_atom_site_fract_y
_atom_site_fract_z
Co1 Co 0.0000 0.0000 0.0000
Cu1 Cu 0.1763 0.5000 0.6062
Cu2 Cu 0.4300 0.5000 0.1041
Cu3 Cu 0.6924 0.0000 0.4882
P1 P 0.9997 0.5000 0.9003
P2 P 0.1353 0.0000 0.6916
P3 P 0.5110 0.0000 0.1834
P4 P 0.6164 0.5000 0.4101
O1 O 0.1959 0.0000 0.8490
O2 O 0.2824 0.2015 0.6283
O3 O 0.3056 0.5000 0.9265
O4 O 0.3135 0.5000 0.4343
O5 O 0.3465 0.1945 0.1118
O6 O 0.4686 0.0000 0.3371
O7 O 0.6514 0.5000 0.2546
O8 O 0.7740 0.3014 0.4773
O9 O 0.8152 0.0000 0.1611
O10 O 0.8300 0.0000 0.6659
O11 O 0.8644 0.2910 0.9678
O12 O 0.9433 0.5000 0.7463
```

Zr2CrPb | GGA-PBEsol | relaxed

energy = -0.582 Ry/atom
formation energy = 0.19 eV/atom

CIF file:
```
data_Zr2CrPb
_chemical_formula_sum 'Zr2 Cr1 Pb1'
_symmetry_space_group_name_H-M 'P 4 m m'
_symmetry_Int_Tables_number 99
_cell_length_a 3.3350
_cell_length_b 3.3350
_cell_length_c 7.1632
_cell_angle_alpha 90.00
_cell_angle_beta 90.00
_cell_angle_gamma 90.00
loop_
_symmetry_equiv_pos_as_xyz
'x,y,z'
'-y,x,z'
'-x,-y,z'
'y,-x,z'
'-x,y,z'
'y,x,z'
'x,-y,z'
'-y,-x,z'
loop_
_atom_site_label
_atom_site_type_symbol
_atom_site_fract_x
_atom_site_fract_y
_atom_site_fract_z
Zr1 Zr 0.0000 0.0000 0.0000
Zr2 Zr 0.5000 0.5000 0.2834
Cr1 Cr 0.0000 0.0000 0.4903
Pb1 Pb 0.5000 0.5000 0.7138
```

ZrSiPt | GGA-PBEsol | relaxed

energy = -0.593 Ry/atom
energy relative to the elements, uncorrected = -808.3 meV/atom

CIF file:
```
data_ZrSiPt
_chemical_formula_sum 'Zr2 Si2 Pt2'
_symmetry_space_group_name_H-M 'I 4 m m'
_symmetry_Int_Tables_number 107
_symmetry_space_group_name_Hall 'I 4 -2'
_cell_length_a 2.9991
_cell_length_b 2.9991
_cell_length_c 10.6560
_cell_angle_alpha 90.00
_cell_angle_beta 90.00
_cell_angle_gamma 90.00
loop_
_atom_site_label
_atom_site_type_symbol
_atom_site_fract_x
_atom_site_fract_y
_atom_site_fract_z
Zr1 Zr 0.0000 0.0000 0.0000
Si1 Si 0.0000 0.0000 0.3265
Pt1 Pt 0.0000 0.0000 0.7005
```

Tm2CoOs | GGA-PBEsol | relaxed

energy = -0.562 Ry/atom
formation energy = -0.21 eV/atom

CIF file:
```
data_Tm2CoOs
_chemical_formula_sum 'Tm8 Co4 Os4'
_symmetry_space_group_name_H-M 'F m -3 m'
_symmetry_Int_Tables_number 225
_symmetry_space_group_name_Hall '-F 4 2 3'
_cell_length_a 6.5552
_cell_length_b 6.5552
_cell_length_c 6.5552
_cell_angle_alpha 90.00
_cell_angle_beta 90.00
_cell_angle_gamma 90.00
loop_
_atom_site_label
_atom_site_type_symbol
_atom_site_fract_x
_atom_site_fract_y
_atom_site_fract_z
Tm1 Tm 0.2500 0.2500 0.2500
Co1 Co 0.0000 0.0000 0.0000
Os1 Os 0.0000 0.0000 0.5000
```

Zr2Be2Ru | GGA-PBEsol | relaxed

energy = -0.556 Ry/atom
formation energy = -0.29 eV/atom

CIF file:
```
data_Zr2Be2Ru
_chemical_formula_sum 'Zr4 Be4 Ru2'
_symmetry_space_group_name_H-M 'P 4/m b m'
_symmetry_Int_Tables_number 127
_symmetry_space_group_name_Hall '-P 4 2ab'
_cell_length_a 6.4299
_cell_length_b 6.4299
_cell_length_c 3.5021
_cell_angle_alpha 90.00
_cell_angle_beta 90.00
_cell_angle_gamma 90.00
loop_
_atom_site_label
_atom_site_type_symbol
_atom_site_fract_x
_atom_site_fract_y
_atom_site_fract_z
Zr1 Zr 0.1805 0.3195 0.0000
Be1 Be 0.1174 0.6174 0.5000
Ru1 Ru 0.0000 0.0000 0.5000
```

HPtN2F | GGA-PBEsol | relaxed

energy = -0.317 Ry/atom

CIF file:
```
data_HPtN2F
_chemical_formula_sum 'H1 Pt1 N2 F1'
_symmetry_space_group_name_H-M 'P 4/m m m'
_symmetry_Int_Tables_number 123
_symmetry_space_group_name_Hall '-P 4 2'
_cell_length_a 3.2334
_cell_length_b 3.2334
_cell_length_c 3.7620
_cell_angle_alpha 90.00
_cell_angle_beta 90.00
_cell_angle_gamma 90.00
loop_
_atom_site_label
_atom_site_type_symbol
_atom_site_fract_x
_atom_site_fract_y
_atom_site_fract_z
H1 H 0.0000 0.0000 0.0000
Pt1 Pt 0.5000 0.5000 0.5000
N1 N 0.0000 0.5000 0.0000
F1 F 0.0000 0.0000 0.5000
```

CdPt2Pb | GGA-PBEsol | relaxed

energy = -0.356 Ry/atom
formation energy = -0.07 eV/atom
excess energy over the best structure of this formula in the dataset = 60 meV per atom

CIF file:
```
data_CdPt2Pb
_chemical_formula_sum 'Cd4 Pt8 Pb4'
_symmetry_space_group_name_H-M 'F m -3 m'
_symmetry_Int_Tables_number 225
_symmetry_space_group_name_Hall '-F 4 2 3'
_cell_length_a 6.6395
_cell_length_b 6.6395
_cell_length_c 6.6395
_cell_angle_alpha 90.00
_cell_angle_beta 90.00
_cell_angle_gamma 90.00
loop_
_atom_site_label
_atom_site_type_symbol
_atom_site_fract_x
_atom_site_fract_y
_atom_site_fract_z
Cd1 Cd 0.0000 0.0000 0.0000
Pt1 Pt 0.2500 0.2500 0.2500
Pb1 Pb 0.0000 0.0000 0.5000
```

TeAs4 | GGA-PBEsol | relaxed

energy = -0.297 Ry/atom
energy relative to the elements, uncorrected = 755.5 meV/atom

CIF file:
```
data_TeAs4
_chemical_formula_sum 'Te2 As8'
_symmetry_space_group_name_H-M 'I m -3 m'
_symmetry_Int_Tables_number 229
_symmetry_space_group_name_Hall '-I 4 2 3'
_cell_length_a 6.3572
_cell_length_b 6.3572
_cell_length_c 6.3572
_cell_angle_alpha 90.00
_cell_angle_beta 90.00
_cell_angle_gamma 90.00
loop_
_atom_site_label
_atom_site_type_symbol
_atom_site_fract_x
_atom_site_fract_y
_atom_site_fract_z
Te1 Te 0.0000 0.0000 0.0000
As1 As 0.2500 0.2500 0.2500
```

K2MgCdGe | GGA-PBEsol | relaxed

energy = -0.102 Ry/atom
formation energy = 0.64 eV/atom

CIF file:
```
data_K2MgCdGe
_chemical_formula_sum 'K2 Mg1 Cd1 Ge1'
_symmetry_space_group_name_H-M 'P 4/m m m'
_symmetry_Int_Tables_number 123
_symmetry_space_group_name_Hall '-P 4 2'
_cell_length_a 6.3271
_cell_length_b 6.3271
_cell_length_c 5.2008
_cell_angle_alpha 90.00
_cell_angle_beta 90.00
_cell_angle_gamma 90.00
loop_
_atom_site_label
_atom_site_type_symbol
_atom_site_fract_x
_atom_site_fract_y
_atom_site_fract_z
K1 K 0.0000 0.5000 0.0000
Mg1 Mg 0.0000 0.0000 0.0000
Cd1 Cd 0.0000 0.0000 0.5000
Ge1 Ge 0.5000 0.5000 0.5000
```

ZnCdCo2 | GGA-PBEsol | relaxed

energy = -0.317 Ry/atom
formation energy = 0.25 eV/atom

CIF file:
```
data_ZnCdCo2
_chemical_formula_sum 'Zn2 Cd2 Co4'
_symmetry_space_group_name_H-M 'I -4 m 2'
_symmetry_Int_Tables_number 119
_symmetry_space_group_name_Hall 'I -4 -2'
_cell_length_a 3.8463
_cell_length_b 3.8463
_cell_length_c 7.0948
_cell_angle_alpha 90.00
_cell_angle_beta 90.00
_cell_angle_gamma 90.00
loop_
_atom_site_label
_atom_site_type_symbol
_atom_site_fract_x
_atom_site_fract_y
_atom_site_fract_z
Zn1 Zn 0.0000 0.0000 0.0000
Cd1 Cd 0.0000 0.5000 0.2500
Co1 Co 0.0000 0.0000 0.5000
Co2 Co 0.0000 0.5000 0.7500
```

BaBePd2 | GGA-PBEsol | relaxed

energy = -0.350 Ry/atom
formation energy = -0.25 eV/atom

CIF file:
```
data_BaBePd2
_chemical_formula_sum 'Ba4 Be4 Pd8'
_symmetry_space_group_name_H-M 'I 41/a m d'
_symmetry_Int_Tables_number 141
_cell_length_a 5.1311
_cell_length_b 5.1311
_cell_length_c 14.4513
_cell_angle_alpha 90.00
_cell_angle_beta 90.00
_cell_angle_gamma 90.00
loop_
_symmetry_equiv_pos_as_xyz
'x,y,z'
'-x,-y,-z'
'-y+1/4,x+3/4,z+1/4'
'y+1/4,-x+3/4,-z+1/4'
'-x+1/2,-y,z+1/2'
'x+1/2,y,-z+1/2'
'y+1/4,-x+1/4,z+3/4'
'-y+1/4,x+1/4,-z+3/4'
'x,-y,-z'
'-x,y,z'
'-y+1/4,-x+1/4,-z+3/4'
'y+1/4,x+1/4,z+3/4'
'-x+1/2,y,-z+1/2'
'x+1/2,-y,z+1/2'
'y+1/4,x+3/4,-z+1/4'
'-y+1/4,-x+3/4,z+1/4'
'x+1/2,y+1/2,z+1/2'
'-x+1/2,-y+1/2,-z+1/2'
'-y+3/4,x+1/4,z+3/4'
'y+3/4,-x+1/4,-z+3/4'
'-x,-y+1/2,z'
'x,y+1/2,-z'
'y+3/4,-x+3/4,z+1/4'
'-y+3/4,x+3/4,-z+1/4'
'x+1/2,-y+1/2,-z+1/2'
'-x+1/2,y+1/2,z+1/2'
'-y+3/4,-x+3/4,-z+1/4'
'y+3/4,x+3/4,z+1/4'
'-x,y+1/2,-z'
'x,-y+1/2,z'
'y+3/4,x+1/4,-z+3/4'
'-y+3/4,-x+1/4,z+3/4'
loop_
_atom_site_label
_atom_site_type_symbol
_atom_site_fract_x
_atom_site_fract_y
_atom_site_fract_z
Ba1 Ba 0.0000 0.2500 0.3750
Be1 Be 0.0000 0.2500 0.8750
Pd1 Pd 0.0000 0.0000 0.0000
```

CuIrAu | GGA-PBEsol | relaxed

energy = -0.381 Ry/atom
formation energy = 0.85 eV/atom

CIF file:
```
data_CuIrAu
_chemical_formula_sum 'Cu4 Ir4 Au4'
_symmetry_space_group_name_H-M 'F -4 3 m'
_symmetry_Int_Tables_number 216
_symmetry_space_group_name_Hall 'F -4 2 3'
_cell_length_a 5.9257
_cell_length_b 5.9257
_cell_length_c 5.9257
_cell_angle_alpha 90.00
_cell_angle_beta 90.00
_cell_angle_gamma 90.00
loop_
_atom_site_label
_atom_site_type_symbol
_atom_site_fract_x
_atom_site_fract_y
_atom_site_fract_z
Cu1 Cu 0.0000 0.0000 0.0000
Ir1 Ir 0.2500 0.2500 0.7500
Au1 Au 0.0000 0.0000 0.5000
```

Al2CoSb | GGA-PBEsol | relaxed

energy = -0.363 Ry/atom
energy relative to the elements, uncorrected = 173.7 meV/atom

CIF file:
```
data_Al2CoSb
_chemical_formula_sum 'Al8 Co4 Sb4'
_symmetry_space_group_name_H-M 'I -4 2 d'
_symmetry_Int_Tables_number 122
_symmetry_space_group_name_Hall 'I -4 2bw'
_cell_length_a 4.1571
_cell_length_b 4.1571
_cell_length_c 16.6035
_cell_angle_alpha 90.00
_cell_angle_beta 90.00
_cell_angle_gamma 90.00
loop_
_atom_site_label
_atom_site_type_symbol
_atom_site_fract_x
_atom_site_fract_y
_atom_site_fract_z
Al1 Al 0.1791 0.2500 0.1250
Co1 Co 0.0000 0.0000 0.0000
Sb1 Sb 0.0000 0.0000 0.5000
```

ScTe2Ir | GGA-PBEsol | relaxed

energy = -0.436 Ry/atom
excess energy over the best structure of this formula in the dataset = 541 meV per atom
energy relative to the elements, uncorrected = -64.6 meV/atom

CIF file:
```
data_ScTe2Ir
_chemical_formula_sum 'Sc3 Te6 Ir3'
_symmetry_space_group_name_H-M 'R -3 m'
_symmetry_Int_Tables_number 166
_symmetry_space_group_name_Hall '-R 3 2"'
_cell_length_a 3.8931
_cell_length_b 3.8931
_cell_length_c 25.3143
_cell_angle_alpha 90.00
_cell_angle_beta 90.00
_cell_angle_gamma 120.00
loop_
_atom_site_label
_atom_site_type_symbol
_atom_site_fract_x
_atom_site_fract_y
_atom_site_fract_z
Sc1 Sc 0.0000 0.0000 0.0000
Te1 Te 0.0000 0.0000 0.1123
Ir1 Ir 0.0000 0.0000 0.5000
```

ScCu | GGA-PBEsol | relaxed

energy = -0.419 Ry/atom
formation energy = -0.24 eV/atom

CIF file:
```
data_ScCu
_chemical_formula_sum 'Sc4 Cu4'
_symmetry_space_group_name_H-M 'C m c m'
_symmetry_Int_Tables_number 63
_symmetry_space_group_name_Hall '-C 2c 2'
_cell_length_a 3.2496
_cell_length_b 9.8522
_cell_length_c 4.2547
_cell_angle_alpha 90.00
_cell_angle_beta 90.00
_cell_angle_gamma 90.00
loop_
_atom_site_label
_atom_site_type_symbol
_atom_site_fract_x
_atom_site_fract_y
_atom_site_fract_z
Sc1 Sc 0.0000 0.1429 0.2500
Cu1 Cu 0.0000 0.4250 0.2500
```

LaMnW2 | GGA-PBEsol | relaxed

energy = -0.744 Ry/atom
formation energy = 0.55 eV/atom
excess energy over the best structure of this formula in the dataset = 0 meV per atom

CIF file:
```
data_LaMnW2
_chemical_formula_sum 'La2 Mn2 W4'
_symmetry_space_group_name_H-M 'C m m 2'
_symmetry_Int_Tables_number 35
_cell_length_a 3.1917
_cell_length_b 4.6699
_cell_length_c 9.2361
_cell_angle_alpha 90.00
_cell_angle_beta 90.00
_cell_angle_gamma 90.00
loop_
_symmetry_equiv_pos_as_xyz
'x,y,z'
'-x,-y,z'
'-x,y,z'
'x,-y,z'
'x+1/2,y+1/2,z'
'-x+1/2,-y+1/2,z'
'-x+1/2,y+1/2,z'
'x+1/2,-y+1/2,z'
loop_
_atom_site_label
_atom_site_type_symbol
_atom_site_fract_x
_atom_site_fract_y
_atom_site_fract_z
La1 La 0.0000 0.0000 0.0000
Mn1 Mn 0.0000 0.5000 0.7310
W1 W 0.0000 0.0000 0.5268
W2 W 0.0000 0.5000 0.2957
```

AlPH3 | GGA-PBEsol | relaxed

energy = -0.252 Ry/atom

CIF file:
```
data_AlPH3
_chemical_formula_sum 'Al1 P1 H3'
_symmetry_space_group_name_H-M 'P m -3 m'
_symmetry_Int_Tables_number 221
_symmetry_space_group_name_Hall '-P 4 2 3'
_cell_length_a 3.5242
_cell_length_b 3.5242
_cell_length_c 3.5242
_cell_angle_alpha 90.00
_cell_angle_beta 90.00
_cell_angle_gamma 90.00
loop_
_atom_site_label
_atom_site_type_symbol
_atom_site_fract_x
_atom_site_fract_y
_atom_site_fract_z
Al1 Al 0.0000 0.0000 0.0000
P1 P 0.5000 0.5000 0.5000
H1 H 0.0000 0.5000 0.5000
```

NaCuH2 | GGA-PBEsol | relaxed

energy = -0.233 Ry/atom

CIF file:
```
data_NaCuH2
_chemical_formula_sum 'Na4 Cu4 H8'
_symmetry_space_group_name_H-M 'I -4 2 d'
_symmetry_Int_Tables_number 122
_symmetry_space_group_name_Hall 'I -4 2bw'
_cell_length_a 4.8620
_cell_length_b 4.8620
_cell_length_c 7.0321
_cell_angle_alpha 90.00
_cell_angle_beta 90.00
_cell_angle_gamma 90.00
loop_
_atom_site_label
_atom_site_type_symbol
_atom_site_fract_x
_atom_site_fract_y
_atom_site_fract_z
Na1 Na 0.0000 0.0000 0.0000
Cu1 Cu 0.0000 0.0000 0.5000
H1 H 0.1390 0.2500 0.6250
```

Cs2LiSnSb | GGA-PBEsol | relaxed

energy = -0.177 Ry/atom
energy relative to the elements, uncorrected = 123.2 meV/atom

CIF file:
```
data_Cs2LiSnSb
_chemical_formula_sum 'Cs2 Li1 Sn1 Sb1'
_symmetry_space_group_name_H-M 'P 4/m m m'
_symmetry_Int_Tables_number 123
_symmetry_space_group_name_Hall '-P 4 2'
_cell_length_a 7.3421
_cell_length_b 7.3421
_cell_length_c 5.5821
_cell_angle_alpha 90.00
_cell_angle_beta 90.00
_cell_angle_gamma 90.00
loop_
_atom_site_label
_atom_site_type_symbol
_atom_site_fract_x
_atom_site_fract_y
_atom_site_fract_z
Cs1 Cs 0.0000 0.5000 0.0000
Li1 Li 0.0000 0.0000 0.5000
Sn1 Sn 0.5000 0.5000 0.5000
Sb1 Sb 0.5000 0.5000 0.0000
```